[1]
The following is a PBE calculation of a geometry-optimized SrErAl2Ag5 structure, from the Alexandria database.

The space group is P4/mmm (No. 123) and the conventional cell measures 4.695, 4.695 and 8.872 Å, with angles of 90.00, 90.00 and 90.00 degrees. The distinct sites, in fractional coordinates, are Sr at (0.000, 0.000, 0.000), Er at (0.000, 0.000, 0.500), Al at (0.500, 0.500, 0.357), Ag at (0.000, 0.500, 0.242) and Ag at (0.500, 0.500, 0.000).

---

[2]
The following is a PBE calculation of a geometry-optimized SrErAlAg structure, from the Alexandria database.

The space group is F-43m (No. 216) and the conventional cell measures 7.518, 7.518 and 7.518 Å, with angles of 90.00, 90.00 and 90.00 degrees. The distinct sites, in fractional coordinates, are Sr at (0.000, 0.000, 0.000), Er at (0.000, 0.000, 0.500), Al at (0.250, 0.250, 0.250) and Ag at (0.250, 0.250, 0.750).

---

[3]
The following is a PBE calculation of a geometry-optimized TbErAlAg structure, from the Alexandria database.

For the energy above the most stable polymorph in this dataset, the calculation gives 20.9 meV/atom.

The space group is F-43m (No. 216) and the conventional cell measures 7.274, 7.274 and 7.274 Å, with angles of 90.00, 90.00 and 90.00 degrees. The distinct sites, in fractional coordinates, are Tb at (0.000, 0.000, 0.000), Er at (0.000, 0.000, 0.500), Al at (0.250, 0.250, 0.750) and Ag at (0.250, 0.250, 0.250).

---

[4]
The following is a PBE calculation of a geometry-optimized TbErAlAg structure, from the Alexandria database.

For the energy above the most stable polymorph in this dataset, the calculation gives 0.0 meV/atom.

The space group is P4mm (No. 99) and the conventional cell measures 3.543, 3.543 and 7.542 Å, with angles of 90.00, 90.00 and 90.00 degrees. The distinct sites, in fractional coordinates, are Tb at (0.000, 0.000, 0.000), Er at (0.000, 0.000, 0.500), Al at (0.500, 0.500, 0.747) and Ag at (0.500, 0.500, 0.261).

---

[5]
The following is a PBE calculation of a geometry-optimized ErThAlAg structure, from the Alexandria database.

The space group is F-43m (No. 216) and the conventional cell measures 7.377, 7.377 and 7.377 Å, with angles of 90.00, 90.00 and 90.00 degrees. The distinct sites, in fractional coordinates, are Er at (0.000, 0.000, 0.000), Th at (0.000, 0.000, 0.500), Al at (0.250, 0.250, 0.250) and Ag at (0.250, 0.250, 0.750).

---

[6]
The following is a PBE calculation of a geometry-optimized ErTiAlAg structure, from the Alexandria database.

The space group is F-43m (No. 216) and the conventional cell measures 6.875, 6.875 and 6.875 Å, with angles of 90.00, 90.00 and 90.00 degrees. The distinct sites, in fractional coordinates, are Er at (0.000, 0.000, 0.000), Ti at (0.000, 0.000, 0.500), Al at (0.250, 0.250, 0.250) and Ag at (0.250, 0.250, 0.750).

---

[7]
The following is a PBE calculation of a geometry-optimized Er4AlTlAg2 structure, from the Alexandria database.

The space group is R-3m (No. 166, hexagonal axes) and the conventional cell measures 5.1587, 5.1587 and 25.3386 Å, with angles of 90.00, 90.00 and 120.00 degrees. The distinct sites, in fractional coordinates, are Er at (0.0000, 0.0000, 0.1226), Er at (0.0000, 0.0000, 0.3729), Al at (0.0000, 0.0000, 0.0000), Tl at (0.0000, 0.0000, 0.5000) and Ag at (0.0000, 0.0000, 0.2530).

---

[8]
The following is a PBE calculation of a geometry-optimized ErAlTlAg structure, from the Alexandria database.

The space group is F-43m (No. 216) and the conventional cell measures 7.060, 7.060 and 7.060 Å, with angles of 90.00, 90.00 and 90.00 degrees. The distinct sites, in fractional coordinates, are Er at (0.000, 0.000, 0.000), Al at (0.000, 0.000, 0.500), Tl at (0.250, 0.250, 0.750) and Ag at (0.250, 0.250, 0.250).

---

Number 1: uncorrected energy -3.2604 eV/atom, ρ 7.2 g/cm3. Number 2: uncorrected energy -3.3868 eV/atom, ρ 6.1 g/cm3. Number 3: uncorrected energy -4.2893 eV/atom, ρ 8.0 g/cm3. Number 4: uncorrected energy -4.3102 eV/atom, ρ 8.1 g/cm3. Number 5: uncorrected energy -4.8500 eV/atom, ρ 8.8 g/cm3. Number 6: uncorrected energy -4.9015 eV/atom, ρ 7.2 g/cm3. Number 7: uncorrected energy -4.1050 eV/atom, ρ 9.5 g/cm3. Number 8: uncorrected energy -3.5211 eV/atom, ρ 9.6 g/cm3.